VASP calculation (GGA-PBEsol) on a relaxed structure of NbOsS2N.

Structure (POSCAR):
```
NbOsS2N
1.0
4.8160 0.0000 0.0000
0.0000 4.8160 0.0000
0.0000 0.0000 3.8072
Nb Os S N
1 1 2 1
direct
0.0000 0.0000 0.0000
0.5000 0.5000 0.5000
0.0000 0.5000 0.0000
0.5000 0.0000 0.0000
0.0000 0.0000 0.5000
```

Summary:
formation energy without anion corrections: 1.041 eV/atom
crystal system: tetragonal
N(E_F): 5.97 states/eV/f.u.
symmetry: No. 123